A plane-wave DFT calculation with PBE with a Hubbard U was carried out for crystalline NiMoO2 at its relaxed geometry.

Crystal system: triclinic
Total magnetic moment (μB per formula unit): 2.5
Energy (eV for the cell shown): -45.45
Symmetry: P1

```
NiMoO2
1.0
4.9230 0.0000 0.0000
-1.8721 4.6689 0.0000
-1.7640 -2.1729 4.2730
Ni Mo O
2 2 4
Cartesian
0.0000 0.0000 0.0000
-1.5015 1.7231 2.1368
0.8355 -0.2304 3.2189
0.7849 3.2073 1.0631
-0.8264 -0.2219 1.8409
-0.6142 1.9076 0.2747
-1.6181 2.5203 4.0804
1.3568 1.7333 2.3978
```